1.
Tl4CdIn: optimized geometry, GGA-PBE.

CIF file:
```
data_Tl4CdIn
_cell_length_a 9.1460
_cell_length_b 9.1460
_cell_length_c 9.1460
_cell_angle_alpha 90.00
_cell_angle_beta 90.00
_cell_angle_gamma 90.00
_symmetry_space_group_name_H-M 'F -4 3 m'
_symmetry_Int_Tables_number 216
_symmetry_space_group_name_Hall 'F -4 2 3'
loop_
_atom_site_label
_atom_site_type_symbol
_atom_site_fract_x
_atom_site_fract_y
_atom_site_fract_z
Tl1 Tl 0.1251 0.1251 0.1251
Cd1 Cd 0.2500 0.2500 0.7500
In1 In 0.0000 0.0000 0.5000
```

Properties
E_form, eV per atom: 0.17
Relative energy among the computed polymorphs, kcal/mol of atoms: 3.12
DOS at the Fermi energy, states/eV/f.u.: 4.19

2.
Er3TePb: optimized geometry, GGA-PBE.

CIF file:
```
data_Er3TePb
_cell_length_a 8.6013
_cell_length_b 4.2704
_cell_length_c 8.6039
_cell_angle_alpha 90.00
_cell_angle_beta 92.81
_cell_angle_gamma 90.00
_symmetry_space_group_name_H-M 'P 1 21/m 1'
_symmetry_Int_Tables_number 11
loop_
_symmetry_equiv_pos_as_xyz
'x,y,z'
'-x,-y,-z'
'-x,y+1/2,-z'
'x,-y+1/2,z'
loop_
_atom_site_label
_atom_site_type_symbol
_atom_site_fract_x
_atom_site_fract_y
_atom_site_fract_z
Er1 Er 0.1185 0.2500 0.3603
Er2 Er 0.3513 0.2500 0.9995
Er3 Er 0.3808 0.7500 0.6410
Te1 Te 0.1298 0.2500 0.7120
Pb1 Pb 0.3613 0.7500 0.2660
```

Properties
DOS at the Fermi energy, states/eV/f.u.: 5.08

3.
Sc7Tl2Ga2: optimized geometry, GGA-PBE.

CIF file:
```
data_Sc7Tl2Ga2
_cell_length_a 7.0955
_cell_length_b 10.1925
_cell_length_c 7.4538
_cell_angle_alpha 90.00
_cell_angle_beta 90.00
_cell_angle_gamma 90.00
_symmetry_space_group_name_H-M 'C m m m'
_symmetry_Int_Tables_number 65
_symmetry_space_group_name_Hall '-C 2 2'
loop_
_atom_site_label
_atom_site_type_symbol
_atom_site_fract_x
_atom_site_fract_y
_atom_site_fract_z
Sc1 Sc 0.0000 0.0000 0.0000
Sc2 Sc 0.0000 0.5000 0.2910
Sc3 Sc 0.2500 0.2500 0.3024
Tl1 Tl 0.0000 0.3021 0.0000
Ga1 Ga 0.1740 0.0000 0.5000
```

Properties
E_form, eV per atom: -0.06
DOS at the Fermi energy, states/eV/f.u.: 13.26

4.
UAu3: optimized geometry, GGA-PBE.

CIF file:
```
data_UAu3
_cell_length_a 2.9193
_cell_length_b 4.8365
_cell_length_c 5.8206
_cell_angle_alpha 90.00
_cell_angle_beta 90.00
_cell_angle_gamma 90.00
_symmetry_space_group_name_H-M 'P m m 2'
_symmetry_Int_Tables_number 25
loop_
_symmetry_equiv_pos_as_xyz
'x,y,z'
'-x,-y,z'
'-x,y,z'
'x,-y,z'
loop_
_atom_site_label
_atom_site_type_symbol
_atom_site_fract_x
_atom_site_fract_y
_atom_site_fract_z
U1 U 0.0000 0.0000 0.0000
Au1 Au 0.0000 0.5000 0.6797
Au2 Au 0.5000 0.0000 0.5034
Au3 Au 0.5000 0.5000 0.2236
```

Properties
E_form, eV per atom: -0.03
DOS at the Fermi energy, states/eV/f.u.: 5.46

5.
MgOs2W: optimized geometry, GGA-PBE.

CIF file:
```
data_MgOs2W
_cell_length_a 3.1162
_cell_length_b 3.1162
_cell_length_c 6.3011
_cell_angle_alpha 90.00
_cell_angle_beta 90.00
_cell_angle_gamma 90.00
_symmetry_space_group_name_H-M 'P 4/m m m'
_symmetry_Int_Tables_number 123
_symmetry_space_group_name_Hall '-P 4 2'
loop_
_atom_site_label
_atom_site_type_symbol
_atom_site_fract_x
_atom_site_fract_y
_atom_site_fract_z
Mg1 Mg 0.0000 0.0000 0.0000
Os1 Os 0.5000 0.5000 0.2605
W1 W 0.0000 0.0000 0.5000
```

Properties
E_form, eV per atom: 0.04
DOS at the Fermi energy, states/eV/f.u.: 1.31

6.
YHoRuAu: optimized geometry, GGA-PBE.

CIF file:
```
data_YHoRuAu
_cell_length_a 3.4382
_cell_length_b 3.4382
_cell_length_c 7.2611
_cell_angle_alpha 90.00
_cell_angle_beta 90.00
_cell_angle_gamma 90.00
_symmetry_space_group_name_H-M 'P 4 m m'
_symmetry_Int_Tables_number 99
loop_
_symmetry_equiv_pos_as_xyz
'x,y,z'
'-y,x,z'
'-x,-y,z'
'y,-x,z'
'-x,y,z'
'y,x,z'
'x,-y,z'
'-y,-x,z'
loop_
_atom_site_label
_atom_site_type_symbol
_atom_site_fract_x
_atom_site_fract_y
_atom_site_fract_z
Y1 Y 0.0000 0.0000 0.0000
Ho1 Ho 0.0000 0.0000 0.5390
Ru1 Ru 0.5000 0.5000 0.7655
Au1 Au 0.5000 0.5000 0.2738
```

Properties
E_form, eV per atom: -0.65
Relative energy among the computed polymorphs, kcal/mol of atoms: 0.00
DOS at the Fermi energy, states/eV/f.u.: 2.68

7.
LiMoAs4: optimized geometry, GGA-PBE.

CIF file:
```
data_LiMoAs4
_cell_length_a 7.6592
_cell_length_b 7.6592
_cell_length_c 7.6592
_cell_angle_alpha 90.00
_cell_angle_beta 90.00
_cell_angle_gamma 90.00
_symmetry_space_group_name_H-M 'F -4 3 m'
_symmetry_Int_Tables_number 216
_symmetry_space_group_name_Hall 'F -4 2 3'
loop_
_atom_site_label
_atom_site_type_symbol
_atom_site_fract_x
_atom_site_fract_y
_atom_site_fract_z
Li1 Li 0.0000 0.0000 0.0000
Mo1 Mo 0.2500 0.2500 0.7500
As1 As 0.1239 0.1239 0.3761
```

Properties
E_form, eV per atom: 0.56
DOS at the Fermi energy, states/eV/f.u.: 3.44

8.
Cs5Rb3Hg: optimized geometry, GGA-PBE.

CIF file:
```
data_Cs5Rb3Hg
_cell_length_a 22.0709
_cell_length_b 15.5871
_cell_length_c 14.0592
_cell_angle_alpha 90.00
_cell_angle_beta 128.19
_cell_angle_gamma 90.00
_symmetry_space_group_name_H-M 'C 1 2/m 1'
_symmetry_Int_Tables_number 12
loop_
_symmetry_equiv_pos_as_xyz
'x,y,z'
'-x,-y,-z'
'-x,y,-z'
'x,-y,z'
'x+1/2,y+1/2,z'
'-x+1/2,-y+1/2,-z'
'-x+1/2,y+1/2,-z'
'x+1/2,-y+1/2,z'
loop_
_atom_site_label
_atom_site_type_symbol
_atom_site_fract_x
_atom_site_fract_y
_atom_site_fract_z
Cs1 Cs 0.0000 0.2013 0.0000
Cs2 Cs 0.0536 0.0000 0.7374
Cs3 Cs 0.1107 0.2673 0.4450
Cs4 Cs 0.1621 0.5000 0.9013
Rb1 Rb 0.0000 0.5000 0.0000
Rb2 Rb 0.0000 0.5000 0.5000
Rb3 Rb 0.2159 0.0000 0.3076
Rb4 Rb 0.2476 0.5000 0.3342
Hg1 Hg 0.0726 0.5000 0.3224
```

Properties
E_form, eV per atom: 0.01
DOS at the Fermi energy, states/eV/f.u.: 8.49

9.
Sr2Sn5Ge: optimized geometry, GGA-PBE.

CIF file:
```
data_Sr2Sn5Ge
_cell_length_a 6.5322
_cell_length_b 6.5322
_cell_length_c 12.6846
_cell_angle_alpha 90.00
_cell_angle_beta 90.00
_cell_angle_gamma 90.00
_symmetry_space_group_name_H-M 'I 4 m m'
_symmetry_Int_Tables_number 107
_symmetry_space_group_name_Hall 'I 4 -2'
loop_
_atom_site_label
_atom_site_type_symbol
_atom_site_fract_x
_atom_site_fract_y
_atom_site_fract_z
Sr1 Sr 0.0000 0.5000 0.0000
Sn1 Sn 0.0000 0.0000 0.3888
Sn2 Sn 0.2451 0.2451 0.7370
Ge1 Ge 0.0000 0.0000 0.5932
```

Properties
E_form, eV per atom: -0.20
DOS at the Fermi energy, states/eV/f.u.: 2.83

10.
KRbSi3: optimized geometry, GGA-PBE.

CIF file:
```
data_KRbSi3
_cell_length_a 5.7419
_cell_length_b 5.7419
_cell_length_c 5.7419
_cell_angle_alpha 90.00
_cell_angle_beta 90.00
_cell_angle_gamma 90.00
_symmetry_space_group_name_H-M 'P m -3 m'
_symmetry_Int_Tables_number 221
_symmetry_space_group_name_Hall '-P 4 2 3'
loop_
_atom_site_label
_atom_site_type_symbol
_atom_site_fract_x
_atom_site_fract_y
_atom_site_fract_z
K1 K 0.0000 0.0000 0.0000
Rb1 Rb 0.5000 0.5000 0.5000
Si1 Si 0.0000 0.0000 0.5000
```

Properties
Relative energy among the computed polymorphs, kcal/mol of atoms: 0.00
DOS at the Fermi energy, states/eV/f.u.: 4.07

11.
Tm4Al12Re: optimized geometry, GGA-PBE.

CIF file:
```
data_Tm4Al12Re
_cell_length_a 8.6223
_cell_length_b 8.6223
_cell_length_c 8.6223
_cell_angle_alpha 90.00
_cell_angle_beta 90.00
_cell_angle_gamma 90.00
_symmetry_space_group_name_H-M 'I m -3 m'
_symmetry_Int_Tables_number 229
_symmetry_space_group_name_Hall '-I 4 2 3'
loop_
_atom_site_label
_atom_site_type_symbol
_atom_site_fract_x
_atom_site_fract_y
_atom_site_fract_z
Tm1 Tm 0.2500 0.2500 0.2500
Al1 Al 0.0000 0.0000 0.2901
Al2 Al 0.0000 0.2500 0.5000
Re1 Re 0.0000 0.0000 0.0000
```

Properties
E_form, eV per atom: -0.39
DOS at the Fermi energy, states/eV/f.u.: 8.44

12.
BePb2: optimized geometry, GGA-PBE.

CIF file:
```
data_BePb2
_cell_length_a 8.5171
_cell_length_b 4.1056
_cell_length_c 8.4431
_cell_angle_alpha 90.00
_cell_angle_beta 90.00
_cell_angle_gamma 90.00
_symmetry_space_group_name_H-M 'P n m a'
_symmetry_Int_Tables_number 62
loop_
_symmetry_equiv_pos_as_xyz
'x,y,z'
'-x,-y,-z'
'-x+1/2,-y,z+1/2'
'x+1/2,y,-z+1/2'
'x+1/2,-y+1/2,-z+1/2'
'-x+1/2,y+1/2,z+1/2'
'-x,y+1/2,-z'
'x,-y+1/2,z'
loop_
_atom_site_label
_atom_site_type_symbol
_atom_site_fract_x
_atom_site_fract_y
_atom_site_fract_z
Be1 Be 0.2047 0.2500 0.1304
Pb1 Pb 0.0248 0.2500 0.8376
Pb2 Pb 0.1710 0.2500 0.4542
```

Properties
E_form, eV per atom: 0.45
Relative energy among the computed polymorphs, kcal/mol of atoms: 3.71
DOS at the Fermi energy, states/eV/f.u.: 1.61

no.,final energy (eV per atom)
1,-2.02
2,-4.75
3,-5.07
4,-5.31
5,-9.21
6,-6.55
7,-4.67
8,-0.82
9,-3.70
10,-2.11
11,-4.82
12,-3.26